# LaErCu | the Open Quantum Materials Database | PBE-GGA | relaxed
data_LaErCu
_cell_length_a 6.934
_cell_length_b 6.934
_cell_length_c 6.934
_cell_angle_alpha 90.00
_cell_angle_beta 90.00
_cell_angle_gamma 90.00
_symmetry_space_group_name_H-M 'F -4 3 m'
_symmetry_Int_Tables_number 216
_symmetry_space_group_name_Hall 'F -4 2 3'
loop_
_atom_site_label
_atom_site_fract_x
_atom_site_fract_y
_atom_site_fract_z
La1 0.000 0.000 0.000
Er1 0.000 0.000 0.500
Cu1 0.250 0.250 0.750
# DFT formation energy	22	kJ/mol of formula units
# energy	-51.89	eV per cell
# theoretical density	7366	kg/m3